(1)
A relaxed structure of Ac2BiIr, computed with GGA-PBE.

Results
The energy of formation comes out at -0.611 eV/atom. The density is 11.555 Mg/m³. As for the total energy: -5.85 eV/atom. As for the offset from the most stable computed form: 0.000 eV/atom. As for the total moment: 0.0 μB/f.u. As for the density of states at the Fermi level: 1.37 states/eV per cell.

Lattice parameters (Å, degrees): 3.8286 3.8286 8.3842 90.00 90.00 90.00
With the nearest neighbours (Å) after each atom.
Space group P4/mmm (No. 123)
Asymmetric unit:
Ac 0.0000 0.0000 0.2110 (multiplicity 2)  4 Ir 3.23, 1 Ac 3.54
Bi 0.5000 0.5000 0.5000 (multiplicity 1)  8 Ac 3.63, 4 Bi 3.83
Ir 0.5000 0.5000 0.0000 (multiplicity 1)  8 Ac 3.23

(2)
A relaxed structure of Ac5Bi2IrN, computed with GGA-PBE.

Results
The density is 9.212 Mg/m³. As for the total energy: -5.91 eV/atom. Its formation energy (no corrections) is -742 kJ/mol of formula units. As for the total moment: 0.0 μB/f.u. As for the density of states at the Fermi level: 23.10 states/eV per cell.

Lattice parameters (Å, degrees): 4.5544 20.6188 13.5081 90.00 90.00 90.00
With the nearest neighbours (Å) after each atom.
Space group Cmc2_1 (No. 36)
Asymmetric unit:
Ac 0.0000 0.0049 0.0000 (multiplicity 4)  1 N 2.36
Ac 0.0000 0.1526 0.7073 (multiplicity 4)  1 Ir 2.90
Ac 0.0000 0.1815 0.0953 (multiplicity 4)  1 N 2.59
Ac 0.0000 0.2204 0.3806 (multiplicity 4)  2 Ir 3.00
Ac 0.0000 0.4420 0.7365 (multiplicity 4)  2 N 2.55
Bi 0.0000 0.3816 0.0152 (multiplicity 4)  6 Ac 3.42-3.59
Bi 0.0000 0.3950 0.3892 (multiplicity 4)  5 Ac 3.42-3.60
Ir 0.0000 0.2920 0.7379 (multiplicity 4)  6 Ac 2.90-3.09
N 0.0000 0.0617 0.1517 (multiplicity 4)  4 Ac 2.36-2.59

(3)
A relaxed structure of NaAcBiIr, computed with GGA-PBE.

Results
The energy of formation comes out at -0.259 eV/atom. The density is 11.027 Mg/m³. As for the total energy: -4.80 eV/atom. As for the total moment: 0.0 μB/f.u. As for the density of states at the Fermi level: 8.46 states/eV per cell.

Lattice parameters (Å, degrees): 7.3201 7.3201 7.3201 90.00 90.00 90.00
With the nearest neighbours (Å) after each atom.
Space group F-43m (No. 216)
Asymmetric unit:
Na 0.0000 0.0000 0.0000 (multiplicity 4)  4 Ac 3.17, 4 Bi 3.17
Ac 0.2500 0.2500 0.2500 (multiplicity 4)  4 Ir 3.17, 4 Na 3.17
Bi 0.2500 0.2500 0.7500 (multiplicity 4)  4 Na 3.17, 4 Ir 3.17
Ir 0.0000 0.0000 0.5000 (multiplicity 4)  4 Bi 3.17, 4 Ac 3.17